DFT (PBE-GGA) results for crystalline CdCoCu3 at its relaxed geometry.

```
data_CdCoCu3
_symmetry_space_group_name_H-M 'P m -3 m'
_symmetry_Int_Tables_number 221
_symmetry_space_group_name_Hall '-P 4 2 3'
_cell_length_a 4.435
_cell_length_b 4.435
_cell_length_c 4.435
_cell_angle_alpha 90.00
_cell_angle_beta 90.00
_cell_angle_gamma 90.00
loop_
_atom_site_label
_atom_site_fract_x
_atom_site_fract_y
_atom_site_fract_z
_atom_site_occupancy
Cd1 0.000 0.000 0.000 1
Co1 0.500 0.500 0.500 1
Cu1 0.000 0.500 0.500 1
```

Values from the calculation:
DOS(E_F), states/eV per cell: 6.883
Relative energy among the computed polymorphs, eV per atom: 0.000
Formation enthalpy at 0 K, eV per atom: 0.815
E, eV/atom: -3.247